Eu2Cl2F: relaxed, PBE-GGA.

a b c (Å): 4.660 4.660 13.668
angles (deg): 90.00 90.00 90.00
Positions (direct):
Eu (0.000, 0.000, 0.170)
Eu (0.000, 0.000, 0.830)
Cl (0.000, 0.000, 0.353)
Cl (0.000, 0.000, 0.647)
F (0.000, 0.000, 0.000)

## Properties
As for the crystal system: tetragonal. Its spin magnetization is 14.21 Bohr magnetons per cell. The energy relative to the elements, uncorrected is -156.14 kJ/mol of atoms.